Entry 1:
Pr3Sm4ErS8 | PBE | optimized geometry

Cell: 8.0682 8.0543 8.0679 Å, 120.05 120.00 90.00°
Positions (direct):
Sm  0.0000  0.0000  0.0000
Sm  0.0000  0.0000  0.5000
S  0.7556  0.2497  0.5112
S  0.2444  0.7503  0.4888
S  0.7615  0.7504  0.0059
Pr  0.5000  0.5000  0.0000
S  0.2385  0.2496  0.9941
S  0.7556  0.2496  0.9941
Pr  0.0000  0.5000  0.5000
Sm  0.5000  0.0000  0.0000
S  0.2444  0.7504  0.0059
S  0.2469  0.2408  0.4939
S  0.7531  0.7592  0.5061
Er  0.0000  0.5000  0.0000
Pr  0.5000  0.5000  0.5000
Sm  0.5000  0.0000  0.5000

- Total energy: -102.85 eV for the cell shown
- Total moment: 0.00 μB/cell

---

Entry 2:
Pr2SmErS6 | PBE | optimized geometry

Cell: 7.1198 7.1196 7.4711 Å, 61.54 61.54 60.00°
Positions (direct):
S  0.1139  0.4287  0.7595
Pr  0.0217  0.0217  0.9349
S  0.6979  0.1139  0.7595
Pr  0.5236  0.5236  0.4291
S  0.9396  0.6024  0.2557
S  0.2023  0.9396  0.2557
Sm  0.8144  0.8144  0.5568
S  0.6024  0.2023  0.2557
S  0.4287  0.6979  0.7595
Er  0.3171  0.3170  0.0488

- Total energy: -63.83 eV for the cell shown
- Total moment: 0.00 μB/cell

---

Entry 3:
PrSm3Er2S6 | PBE | optimized geometry

Cell: 6.8948 6.8948 6.8924 Å, 99.58 99.58 120.14°
Positions (direct):
S  0.2667  0.2667  0.7602
Sm  0.5000  0.5000  0.5000
S  0.9186  0.5715  0.7550
S  0.4285  0.0814  0.2450
Sm  0.1602  0.8398  0.5000
Er  0.6659  0.3341  0.0000
S  0.5715  0.9186  0.7550
Pr  0.0000  0.0000  0.0000
S  0.0814  0.4285  0.2450
Er  0.3341  0.6659  0.0000
Sm  0.8398  0.1602  0.5000
S  0.7333  0.7333  0.2398

- Total energy: -76.83 eV for the cell shown
- Total moment: 0.00 μB/cell

---

Entry 4:
Pr3Sm2ErS6 | PBE | optimized geometry

Cell: 6.9650 6.9650 7.0335 Å, 99.48 99.48 120.15°
Positions (direct):
S  0.4032  0.0783  0.2353
Er  0.0000  0.0000  0.0000
Sm  0.3330  0.6670  0.0000
S  0.0783  0.4032  0.2353
Pr  0.1705  0.8295  0.5000
Sm  0.6670  0.3330  0.0000
S  0.5968  0.9217  0.7647
Pr  0.5000  0.5000  0.5000
Pr  0.8295  0.1705  0.5000
S  0.7546  0.7546  0.2386
S  0.2454  0.2454  0.7614
S  0.9217  0.5968  0.7647

- Total energy: -77.29 eV for the cell shown
- Total moment: 0.00 μB/cell

---

Entry 5:
PrSmEr2S6 | PBE | optimized geometry

Cell: 7.0159 7.0159 7.3806 Å, 61.62 61.62 60.00°
Positions (direct):
S  0.3902  0.7271  0.7447
S  0.6280  0.2278  0.2442
S  0.1379  0.3903  0.7448
Er  0.5163  0.5163  0.4512
S  0.9001  0.6280  0.2442
Er  0.0143  0.0144  0.9571
S  0.7271  0.1378  0.7448
S  0.2278  0.9001  0.2442
Sm  0.3118  0.3118  0.0645
Pr  0.8081  0.8081  0.5757

- Total energy: -63.79 eV for the cell shown
- Total moment: 0.00 μB/cell

---

Entry 6:
Pr4Sm3ErS8 | PBE | optimized geometry

Cell: 8.0482 8.1206 8.0478 Å, 119.71 120.00 90.00°
Positions (direct):
S  0.2415  0.7354  0.4829
S  0.7585  0.2646  0.5171
Pr  0.0000  0.0000  0.5000
Pr  0.0000  0.0000  0.0000
Sm  0.5000  0.5000  0.5000
Pr  0.5000  0.0000  0.5000
S  0.7468  0.7405  0.4937
S  0.2415  0.7354  0.9939
S  0.7585  0.2646  0.0061
Sm  0.0000  0.5000  0.5000
S  0.2532  0.2595  0.5063
Sm  0.5000  0.5000  0.0000
S  0.7524  0.7354  0.9939
S  0.2476  0.2646  0.0061
Pr  0.5000  0.0000  0.0000
Er  0.0000  0.5000  0.0000

- Total energy: -103.03 eV for the cell shown
- Total moment: 0.00 μB/cell

---

Entry 7:
SrPrEr4S8 | PBE | optimized geometry

Cell: 8.1158 8.1158 8.2268 Å, 60.45 60.45 60.00°
Positions (direct):
S  0.7904  0.2439  0.7218
S  0.2439  0.7904  0.7218
S  0.7495  0.2321  0.2689
S  0.2321  0.7495  0.2689
Er  0.0017  0.4946  0.5019
S  0.7495  0.7495  0.2689
Pr  0.0017  0.0017  0.9950
Er  0.0017  0.0017  0.5019
Er  0.6254  0.6254  0.1239
Sr  0.3730  0.3730  0.8809
S  0.7577  0.7577  0.7270
S  0.2349  0.2349  0.2954
Er  0.4946  0.0017  0.5019
S  0.2439  0.2439  0.7218

- Total energy: -85.37 eV for the cell shown
- Total moment: 0.00 μB/cell

---

Entry 8:
SrPrEr2S4 | PBE | optimized geometry

Cell: 3.9761 7.0029 6.9476 Å, 71.10 90.00 90.00°
Positions (direct):
S  0.0000  0.2277  0.2574
S  0.5000  0.7734  0.2416
Pr  0.5000  0.5000  0.0000
S  0.5000  0.2266  0.7584
Er  0.0000  0.0000  0.0000
Sr  0.0000  0.5000  0.5000
S  0.0000  0.7723  0.7426
Er  0.5000  0.0000  0.5000

- Total energy: -48.08 eV for the cell shown
- Total moment: 0.00 μB/cell

---

Entry 9:
SrPr2ErS4 | PBE | optimized geometry

Cell: 4.0425 7.0484 7.1182 Å, 108.90 90.00 90.00°
Positions (direct):
S  0.5000  0.2607  0.2440
Pr  0.5000  0.0000  0.5000
Sr  0.0000  0.0000  0.0000
S  0.5000  0.7393  0.7560
Pr  0.0000  0.5000  0.5000
S  0.0000  0.2662  0.7653
Er  0.5000  0.5000  0.0000
S  0.0000  0.7338  0.2347

- Total energy: -48.29 eV for the cell shown
- Total moment: 0.00 μB/cell

---

Entry 10:
Tb2PrErS4 | PBE | optimized geometry

Cell: 3.9124 6.8375 6.9352 Å, 71.12 90.00 90.00°
Positions (direct):
Tb  0.0000  0.0000  0.0000
Pr  0.5000  0.5000  0.0000
S  0.0000  0.2415  0.2632
Er  0.0000  0.5000  0.5000
Tb  0.5000  0.0000  0.5000
S  0.5000  0.7505  0.2599
S  0.5000  0.2495  0.7401
S  0.0000  0.7585  0.7368

- Total energy: -51.00 eV for the cell shown
- Total moment: 0.00 μB/cell

---

Entry 11:
TbPr2Er3S6 | PBE | optimized geometry

Cell: 3.9168 8.0088 8.8786 Å, 104.20 102.74 90.00°
Positions (direct):
Pr  0.1673  0.3346  0.3346
Pr  0.8327  0.6654  0.6654
Er  0.5000  0.5000  0.0000
Er  0.8314  0.1664  0.6628
S  0.3387  0.4039  0.6773
Tb  0.5000  0.0000  0.0000
S  0.6613  0.5961  0.3227
S  0.0054  0.7483  0.0109
S  0.3328  0.9316  0.6656
Er  0.1686  0.8336  0.3372
S  0.9946  0.2517  0.9891
S  0.6672  0.0684  0.3344

- Total energy: -76.49 eV for the cell shown
- Total moment: 0.00 μB/cell

---

Entry 12:
TbPrEr4S8 | PBE | optimized geometry

Cell: 8.0494 8.0494 8.0769 Å, 60.11 60.11 60.00°
Positions (direct):
S  0.7859  0.2402  0.7336
Tb  0.9992  0.9992  0.0024
S  0.2369  0.2369  0.2894
Er  0.6255  0.6255  0.1236
Er  0.9992  0.5027  0.4988
Er  0.5027  0.9992  0.4988
S  0.7573  0.7573  0.7281
Pr  0.3742  0.3742  0.8775
S  0.2402  0.2402  0.7336
Er  0.9992  0.9992  0.4988
S  0.7543  0.2308  0.2606
S  0.7543  0.7543  0.2606
S  0.2402  0.7859  0.7336
S  0.2308  0.7543  0.2606

- Total energy: -87.55 eV for the cell shown
- Total moment: 0.00 μB/cell